Entry 1:
Density functional theory data (PBE) for a geometry-optimized RbTiNbH2 structure.

The structure belongs to space group P4/mmm (No. 123); the cell edges are 4.3254, 4.3254 and 4.8446 Å and the angles 90.00°, 90.00° and 90.00°. The inequivalent atoms are Rb at (0.0000, 0.0000, 0.0000), Ti at (0.5000, 0.5000, 0.0000), Nb at (0.5000, 0.5000, 0.5000) and H at (0.0000, 0.5000, 0.5000).

The value obtained for the total magnetization is 1.9 μB per formula unit. The total energy is -4.1467 eV per atom. For the density, the calculation gives 4.182 g/cm³.

Entry 2:
Density functional theory data (PBE) for a geometry-optimized CdAgClF2 structure.

The structure belongs to space group P2_1/m (No. 11); the cell edges are 7.0063, 3.4302 and 7.4161 Å and the angles 90.00°, 95.87° and 90.00°. The inequivalent atoms are Cd at (0.1854, 0.2500, 0.1574), Ag at (0.2404, 0.7500, 0.6248), Cl at (0.4824, 0.7500, 0.2583), F at (0.0630, 0.7500, 0.3339) and F at (0.1452, 0.7500, 0.9486).

The value obtained for the total magnetization is 0.0 μB per formula unit. The total energy is -3.2467 eV per atom. The polymorph energy (0 for the lowest one) is 0 meV per atom. For the uncorrected formation energy, the calculation gives -1376 meV per atom. For the density, the calculation gives 5.502 g/cm³.

Entry 3:
Density functional theory data (PBE) for a geometry-optimized Pu5GeIr3 structure.

The structure belongs to space group C2/m (No. 12); the cell edges are 11.2865, 8.6961 and 9.5071 Å and the angles 90.00°, 103.35° and 90.00°. The inequivalent atoms are Pu at (0.0000, 0.1954, 0.0000), Pu at (0.0244, 0.0000, 0.3610), Pu at (0.1809, 0.2924, 0.6530), Pu at (0.2489, 0.0000, 0.8999), Ge at (0.0419, 0.5000, 0.2622), Ir at (0.0000, 0.5000, 0.0000), Ir at (0.0000, 0.5000, 0.5000), Ir at (0.1703, 0.0000, 0.1605) and Ir at (0.2453, 0.5000, 0.4371).

The value obtained for the total magnetization is 16.1 μB per formula unit. The total energy is -11.5893 eV per atom. For the density, the calculation gives 13.676 g/cm³. The formation energy from the elements is -0.16 eV per atom.

Entry 4:
Density functional theory data (PBE) for a geometry-optimized BaLa2Ir structure.

The structure belongs to space group R-3m (No. 166, hexagonal axes); the cell edges are 4.2068, 4.2068 and 33.3724 Å and the angles 90.00°, 90.00° and 120.00°. The inequivalent atoms are Ba at (0.0000, 0.0000, 0.0000), La at (0.0000, 0.0000, 0.1209) and Ir at (0.0000, 0.0000, 0.5000).

The value obtained for the total magnetization is 0.0 μB per formula unit. The total energy is -5.5196 eV per atom. The polymorph energy (0 for the lowest one) is 102 meV per atom. For the density, the calculation gives 5.916 g/cm³. The formation energy from the elements is -0.36 eV per atom.